Computed, not measured: an optimized crystal structure of Ti2BiPd2 at the PBE-GGA level of DFT.

- Energy of formation: -356 meV/atom
- Distance to the lowest polymorph of the same formula: 0.000 eV per atom
- Mass density: 9.38 Mg/m³

The structure in CIF format:
```
data_Ti2BiPd2
_chemical_formula_sum 'Ti4 Bi2 Pd4'
_symmetry_space_group_name_H-M 'P 4/m b m'
_symmetry_Int_Tables_number 127
_symmetry_space_group_name_Hall '-P 4 2ab'
_cell_length_a 7.654
_cell_length_b 7.654
_cell_length_c 3.127
_cell_angle_alpha 90.00
_cell_angle_beta 90.00
_cell_angle_gamma 90.00
loop_
_atom_site_label
_atom_site_type_symbol
_atom_site_fract_x
_atom_site_fract_y
_atom_site_fract_z
_atom_site_occupancy
Ti1 Ti 0.161 0.339 0.000 1
Bi1 Bi 0.000 0.000 0.500 1
Pd1 Pd 0.129 0.629 0.500 1
```

=====

Computed, not measured: an optimized crystal structure of In2CuOs at the PBE-GGA level of DFT.

- Energy of formation: 524 meV/atom
- Mass density: 11.10 Mg/m³

The structure in CIF format:
```
data_In2CuOs
_chemical_formula_sum 'In4 Cu2 Os2'
_symmetry_space_group_name_H-M 'C m m m'
_symmetry_Int_Tables_number 65
_symmetry_space_group_name_Hall '-C 2 2'
_cell_length_a 3.069
_cell_length_b 5.271
_cell_length_c 8.943
_cell_angle_alpha 90.00
_cell_angle_beta 90.00
_cell_angle_gamma 90.00
loop_
_atom_site_label
_atom_site_type_symbol
_atom_site_fract_x
_atom_site_fract_y
_atom_site_fract_z
_atom_site_occupancy
In1 In 0.000 0.000 0.248 1
Cu1 Cu 0.000 0.500 0.000 1
Os1 Os 0.000 0.500 0.500 1
```

=====

Computed, not measured: an optimized crystal structure of Ac3Sb2Pt3 at the PBE-GGA level of DFT.

- Formation energy without anion corrections: -1055 meV/atom
- Mass density: 11.19 Mg/m³

The structure in CIF format:
```
data_Ac3Sb2Pt3
_chemical_formula_sum 'Ac12 Sb8 Pt12'
_symmetry_space_group_name_H-M 'C m c m'
_symmetry_Int_Tables_number 63
_symmetry_space_group_name_Hall '-C 2c 2'
_cell_length_a 4.532
_cell_length_b 12.136
_cell_length_c 16.287
_cell_angle_alpha 90.00
_cell_angle_beta 90.00
_cell_angle_gamma 90.00
loop_
_atom_site_label
_atom_site_type_symbol
_atom_site_fract_x
_atom_site_fract_y
_atom_site_fract_z
_atom_site_occupancy
Ac1 Ac 0.000 0.087 0.250 1
Ac2 Ac 0.000 0.388 0.096 1
Sb1 Sb 0.000 0.321 0.612 1
Pt1 Pt 0.000 0.086 0.052 1
Pt2 Pt 0.000 0.167 0.750 1
```

=====

Computed, not measured: an optimized crystal structure of Pr6Tm5In at the PBE-GGA level of DFT.

- Energy of formation: -54 meV/atom
- Mass density: 7.74 Mg/m³

The structure in CIF format:
```
data_Pr6Tm5In
_chemical_formula_sum 'Pr12 Tm10 In2'
_symmetry_space_group_name_H-M 'I m m m'
_symmetry_Int_Tables_number 71
_symmetry_space_group_name_Hall '-I 2 2'
_cell_length_a 5.101
_cell_length_b 9.888
_cell_length_c 15.361
_cell_angle_alpha 90.00
_cell_angle_beta 90.00
_cell_angle_gamma 90.00
loop_
_atom_site_label
_atom_site_type_symbol
_atom_site_fract_x
_atom_site_fract_y
_atom_site_fract_z
_atom_site_occupancy
Pr1 Pr 0.000 0.246 0.000 1
Pr2 Pr 0.000 0.254 0.333 1
Tm1 Tm 0.000 0.000 0.167 1
Tm2 Tm 0.000 0.000 0.500 1
Tm3 Tm 0.000 0.500 0.164 1
In1 In 0.000 0.500 0.500 1
```

=====

Computed, not measured: an optimized crystal structure of KMgIn at the PBE-GGA level of DFT.

- Energy of formation: -35 meV/atom
- Distance to the lowest polymorph of the same formula: 0.028 eV per atom
- Mass density: 2.69 Mg/m³

The structure in CIF format:
```
data_KMgIn
_chemical_formula_sum 'K2 Mg2 In2'
_symmetry_space_group_name_H-M 'P -1'
_symmetry_Int_Tables_number 2
_symmetry_space_group_name_Hall '-P 1'
_cell_length_a 5.488
_cell_length_b 5.488
_cell_length_c 7.737
_cell_angle_alpha 89.78
_cell_angle_beta 89.57
_cell_angle_gamma 70.92
loop_
_atom_site_label
_atom_site_type_symbol
_atom_site_fract_x
_atom_site_fract_y
_atom_site_fract_z
_atom_site_occupancy
K1 K 0.248 0.247 0.356 1
Mg1 Mg 0.251 0.751 0.000 1
In1 In 0.248 0.254 0.851 1
```

=====

Computed, not measured: an optimized crystal structure of AlCu2Te at the PBE-GGA level of DFT.

- Formation energy without anion corrections: 220 meV/atom
- Distance to the lowest polymorph of the same formula: 0.169 eV per atom
- Mass density: 6.54 Mg/m³

The structure in CIF format:
```
data_AlCu2Te
_chemical_formula_sum 'Al2 Cu4 Te2'
_symmetry_space_group_name_H-M 'C 1 2/m 1'
_symmetry_Int_Tables_number 12
_symmetry_space_group_name_Hall '-C 2y'
_cell_length_a 5.855
_cell_length_b 6.143
_cell_length_c 4.116
_cell_angle_alpha 90.00
_cell_angle_beta 105.03
_cell_angle_gamma 90.00
loop_
_atom_site_label
_atom_site_type_symbol
_atom_site_fract_x
_atom_site_fract_y
_atom_site_fract_z
_atom_site_occupancy
Al1 Al 0.000 0.000 0.000 1
Cu1 Cu 0.250 0.250 0.500 1
Te1 Te 0.000 0.500 0.000 1
```

=====

Computed, not measured: an optimized crystal structure of BaMgBe3 at the PBE-GGA level of DFT.

- Energy of formation: 920 meV/atom
- Distance to the lowest polymorph of the same formula: 0.000 eV per atom
- Mass density: 2.74 Mg/m³

The structure in CIF format:
```
data_BaMgBe3
_chemical_formula_sum 'Ba1 Mg1 Be3'
_symmetry_space_group_name_H-M 'P m -3 m'
_symmetry_Int_Tables_number 221
_symmetry_space_group_name_Hall '-P 4 2 3'
_cell_length_a 4.853
_cell_length_b 4.853
_cell_length_c 4.853
_cell_angle_alpha 90.00
_cell_angle_beta 90.00
_cell_angle_gamma 90.00
loop_
_atom_site_label
_atom_site_type_symbol
_atom_site_fract_x
_atom_site_fract_y
_atom_site_fract_z
_atom_site_occupancy
Ba1 Ba 0.000 0.000 0.000 1
Mg1 Mg 0.500 0.500 0.500 1
Be1 Be 0.000 0.500 0.500 1
```

=====

Computed, not measured: an optimized crystal structure of Zn2H4Rh at the PBE-GGA level of DFT.

- E: -3.1850 eV per atom
- Mass density: 6.22 Mg/m³

The structure in CIF format:
```
data_Zn2H4Rh
_chemical_formula_sum 'Zn4 H8 Rh2'
_symmetry_space_group_name_H-M 'I 4/m m m'
_symmetry_Int_Tables_number 139
_symmetry_space_group_name_Hall '-I 4 2'
_cell_length_a 3.597
_cell_length_b 3.597
_cell_length_c 9.811
_cell_angle_alpha 90.00
_cell_angle_beta 90.00
_cell_angle_gamma 90.00
loop_
_atom_site_label
_atom_site_type_symbol
_atom_site_fract_x
_atom_site_fract_y
_atom_site_fract_z
_atom_site_occupancy
Zn1 Zn 0.000 0.000 0.138 1
H1 H 0.000 0.000 0.310 1
H2 H 0.000 0.500 0.000 1
Rh1 Rh 0.000 0.000 0.500 1
```

=====

Computed, not measured: an optimized crystal structure of Ba2NpMnTe5 at the PBE-GGA level of DFT.

- Formation energy without anion corrections: -1020 meV/atom
- Mass density: 6.12 Mg/m³

The structure in CIF format:
```
data_Ba2NpMnTe5
_chemical_formula_sum 'Ba8 Np4 Mn4 Te20'
_symmetry_space_group_name_H-M 'C m c 21'
_symmetry_Int_Tables_number 36
_symmetry_space_group_name_Hall 'C 2c -2'
_cell_length_a 4.635
_cell_length_b 20.034
_cell_length_c 14.090
_cell_angle_alpha 90.00
_cell_angle_beta 90.00
_cell_angle_gamma 90.00
loop_
_atom_site_label
_atom_site_type_symbol
_atom_site_fract_x
_atom_site_fract_y
_atom_site_fract_z
_atom_site_occupancy
Ba1 Ba 0.000 0.119 0.000 1
Ba2 Ba 0.000 0.120 0.362 1
Np1 Np 0.000 0.198 0.689 1
Mn1 Mn 0.000 0.436 0.101 1
Te1 Te 0.000 0.042 0.696 1
Te2 Te 0.000 0.302 0.333 1
Te3 Te 0.000 0.304 0.039 1
Te4 Te 0.000 0.348 0.681 1
Te5 Te 0.000 0.499 0.936 1
```

=====

Computed, not measured: an optimized crystal structure of PtRhIO2 at the PBE-GGA level of DFT.

- Formation energy without anion corrections: 77 meV/atom
- Distance to the lowest polymorph of the same formula: 0.000 eV per atom
- Mass density: 6.78 Mg/m³

The structure in CIF format:
```
data_PtRhIO2
_chemical_formula_sum 'Pt1 Rh1 I1 O2'
_symmetry_space_group_name_H-M 'P 4/m m m'
_symmetry_Int_Tables_number 123
_symmetry_space_group_name_Hall '-P 4 2'
_cell_length_a 3.775
_cell_length_b 3.775
_cell_length_c 7.854
_cell_angle_alpha 90.00
_cell_angle_beta 90.00
_cell_angle_gamma 90.00
loop_
_atom_site_label
_atom_site_type_symbol
_atom_site_fract_x
_atom_site_fract_y
_atom_site_fract_z
_atom_site_occupancy
Pt1 Pt 0.000 0.000 0.000 1
Rh1 Rh 0.500 0.500 0.500 1
I1 I 0.500 0.500 0.000 1
O1 O 0.000 0.500 0.500 1
```